[1]
HfCdAsSe2: optimized geometry, PBE.

Results
The uncorrected formation energy comes out at -0.2164 eV/atom. For the total moment, the calculation gives 0.0 μB/f.u. The relative energy among the computed polymorphs is 0.00 eV/f.u. For the theoretical density, the calculation gives 6.233 g cm⁻³.

Cell: 5.1352 5.1352 5.2913 Å, 90.00 90.00 90.00°
Last column: nearest neighbours and their distance in Å.
Space group P4/mmm (No. 123)
Asymmetric unit:
Hf  0.0000  0.0000  0.0000 (multiplicity 1)  4 Se 2.57, 2 As 2.65
Cd  0.5000  0.5000  0.5000 (multiplicity 1)  4 As 3.63, 8 Se 3.69
As  0.0000  0.0000  0.5000 (multiplicity 1)  2 Hf 2.65
Se  0.0000  0.5000  0.0000 (multiplicity 2)  2 Hf 2.57



[2]
InTeP: optimized geometry, PBE.

Results
The uncorrected formation energy comes out at 0.1708 eV/atom. For the total moment, the calculation gives 0.0 μB/f.u. The relative energy among the computed polymorphs is 0.44 eV/f.u. For the theoretical density, the calculation gives 5.166 g cm⁻³.

Cell: 3.8397 3.9584 11.5638 Å, 90.00 90.00 90.00°
Last column: nearest neighbours and their distance in Å.
Space group Imm2 (No. 44)
Asymmetric unit:
In  0.0000  0.0000  0.0000 (multiplicity 2)  4 P 2.76
Te  0.0000  0.0000  0.7054 (multiplicity 2)  1 P 2.48
P  0.0000  0.0000  0.4908 (multiplicity 2)  1 Te 2.48, 4 In 2.76